A geometry-optimized La2In6Au structure. Source: the Alexandria database, functional PBE.

abc: 3.857 4.906 26.398
angles: 90.00 90.00 90.00
Space group Amm2 (No. 38)
Asymmetric unit:
La 0.000 0.000 0.000 x2
La 0.000 0.000 0.332 x2
In 0.000 0.000 0.631 x2
In 0.000 0.000 0.746 x2
In 0.500 0.000 0.109 x2
In 0.500 0.000 0.220 x2
In 0.500 0.000 0.441 x2
In 0.500 0.000 0.879 x2
Au 0.500 0.000 0.547 x2

Calculated values
DFT formation energy	-359	meV per atom
total magnetic moment	0.0	μB/cell
electronic total energy	-3.6436	eV/atom

***

A geometry-optimized LaIn2Au9 structure. Source: the Alexandria database, functional PBE.

abc: 5.6275 5.6275 27.8539
angles: 90.00 90.00 120.00
Space group R-3m (No. 166, hexagonal axes)
Asymmetric unit:
La 0.0000 0.0000 0.0000 x3
In 0.0000 0.0000 0.1445 x6
Au 0.0000 0.0000 0.3330 x6
Au 0.0000 0.0000 0.5000 x3
Au 0.0031 0.5016 0.9153 x18

Calculated values
DFT formation energy	-263	meV per atom
total magnetic moment	0.0	μB/cell
electronic total energy	-3.5880	eV/atom

***

A geometry-optimized La8In2Au structure. Source: the Alexandria database, functional PBE.

abc: 19.433 5.489 7.029
angles: 90.00 105.38 90.00
Space group C2/m (No. 12)
Asymmetric unit:
La 0.011 0.000 0.274 x4
La 0.092 0.500 0.950 x4
La 0.156 0.500 0.463 x4
La 0.209 0.000 0.774 x4
In 0.179 0.000 0.218 x4
Au 0.000 0.500 0.500 x2

Calculated values
DFT formation energy	-333	meV per atom
total magnetic moment	0.0	μB/cell
electronic total energy	-4.7119	eV/atom

***

A geometry-optimized La2In3Au2 structure. Source: the Alexandria database, functional PBE.

abc: 4.711 21.136 3.770
angles: 90.00 90.00 90.00
Space group Cmmm (No. 65)
Asymmetric unit:
La 0.000 0.164 0.000 x4
In 0.000 0.000 0.000 x2
In 0.000 0.429 0.500 x4
Au 0.000 0.290 0.500 x4

Calculated values
DFT formation energy	-566	meV per atom
total magnetic moment	0.0	μB/cell
electronic total energy	-4.0842	eV/atom

***

A geometry-optimized LaIn2Au4 structure. Source: the Alexandria database, functional PBE.

abc: 7.249 7.249 5.792
angles: 90.00 90.00 90.00
Space group I4/mmm (No. 139)
Asymmetric unit:
La 0.000 0.000 0.000 x2
In 0.000 0.500 0.250 x4
Au 0.196 0.196 0.500 x8

Calculated values
DFT formation energy	-492	meV per atom
total magnetic moment	0.0	μB/cell
electronic total energy	-3.8516	eV/atom

***

A geometry-optimized La2InAu6 structure. Source: the Alexandria database, functional PBE.

abc: 6.5553 6.5553 5.6033
angles: 90.00 90.00 120.00
Space group P-3m1 (No. 164)
Asymmetric unit:
La 0.3333 0.6667 0.3291 x2
In 0.0000 0.0000 0.5000 x1
Au 0.1866 0.3731 0.8223 x6

Calculated values
DFT formation energy	-632	meV per atom
total magnetic moment	0.0	μB/cell
electronic total energy	-4.2164	eV/atom

***

A geometry-optimized La6In3Au structure. Source: the Alexandria database, functional PBE.

abc: 9.730 11.918 5.606
angles: 90.00 90.00 90.00
Space group Pnnm (No. 58)
Asymmetric unit:
La 0.001 0.241 0.000 x4
La 0.163 0.061 0.500 x4
La 0.171 0.444 0.500 x4
In 0.000 0.500 0.000 x2
In 0.166 0.750 0.500 x4
Au 0.000 0.000 0.000 x2

Calculated values
DFT formation energy	-411	meV per atom
total magnetic moment	0.0	μB/cell
electronic total energy	-4.5166	eV/atom

***

A geometry-optimized LaInAu2 structure. Source: the Alexandria database, functional PBE.

abc: 5.069 7.156 5.239
angles: 90.00 90.00 90.00
Space group Pmmn (No. 59, origin choice 2)
Asymmetric unit:
La 0.250 0.250 0.223 x2
In 0.250 0.750 0.249 x2
Au 0.250 0.008 0.720 x4

Calculated values
DFT formation energy	-710	meV per atom
total magnetic moment	0.0	μB/cell
electronic total energy	-4.2651	eV/atom

***

A geometry-optimized La6InAu structure. Source: the Alexandria database, functional PBE.

abc: 5.464 5.464 17.565
angles: 90.00 90.00 90.00
Space group I4/mmm (No. 139)
Asymmetric unit:
La 0.000 0.000 0.245 x4
La 0.000 0.500 0.108 x8
In 0.000 0.000 0.000 x2
Au 0.000 0.000 0.500 x2

Calculated values
DFT formation energy	-292	meV per atom
total magnetic moment	0.0	μB/cell
electronic total energy	-4.7392	eV/atom

***

A geometry-optimized LaInAu4 structure. Source: the Alexandria database, functional PBE.

abc: 8.055 8.055 8.055
angles: 90.00 90.00 90.00
Space group F-43m (No. 216)
Asymmetric unit:
La 0.000 0.000 0.000 x4
In 0.250 0.250 0.250 x4
Au 0.125 0.125 0.625 x16

Calculated values
DFT formation energy	-484	meV per atom
total magnetic moment	0.0	μB/cell
relative energy among the computed polymorphs	0.000	eV/atom
electronic total energy	-3.9463	eV/atom

***

A geometry-optimized La7In2Au2 structure. Source: the Alexandria database, functional PBE.

abc: 8.664 11.685 7.318
angles: 90.00 90.00 90.00
Space group Cmmm (No. 65)
Asymmetric unit:
La 0.000 0.000 0.000 x2
La 0.000 0.500 0.268 x4
La 0.250 0.250 0.280 x8
In 0.163 0.000 0.500 x4
Au 0.000 0.285 0.000 x4

Calculated values
DFT formation energy	-340	meV per atom
total magnetic moment	0.0	μB/cell
electronic total energy	-4.5699	eV/atom

***

A geometry-optimized La5In4Au structure. Source: the Alexandria database, functional PBE.

abc: 3.780 3.780 21.067
angles: 90.00 90.00 90.00
Space group P4/mmm (No. 123)
Asymmetric unit:
La 0.000 0.000 0.000 x1
La 0.000 0.000 0.205 x2
La 0.000 0.000 0.411 x2
In 0.500 0.500 0.103 x2
In 0.500 0.500 0.308 x2
Au 0.500 0.500 0.500 x1

Calculated values
DFT formation energy	-569	meV per atom
total magnetic moment	0.0	μB/cell
electronic total energy	-4.4556	eV/atom

***

A geometry-optimized LaInAu3 structure. Source: the Alexandria database, functional PBE.

abc: 5.666 5.666 5.666
angles: 90.00 90.00 90.00
Space group Pm-3m (No. 221)
Asymmetric unit:
La 0.000 0.000 0.000 x1
In 0.500 0.500 0.500 x1
Au 0.000 0.000 0.500 x3

Calculated values
DFT formation energy	193	meV per atom
total magnetic moment	0.0	μB/cell
relative energy among the computed polymorphs	0.769	eV/atom
electronic total energy	-3.3070	eV/atom

***

A geometry-optimized La4In3Au structure. Source: the Alexandria database, functional PBE.

abc: 3.761 3.761 16.896
angles: 90.00 90.00 90.00
Space group P4/mmm (No. 123)
Asymmetric unit:
La 0.000 0.000 0.111 x2
La 0.000 0.000 0.371 x2
In 0.500 0.500 0.241 x2
In 0.500 0.500 0.500 x1
Au 0.500 0.500 0.000 x1

Calculated values
DFT formation energy	-577	meV per atom
total magnetic moment	0.0	μB/cell
electronic total energy	-4.4775	eV/atom

***

A geometry-optimized La3InAu structure. Source: the Alexandria database, functional PBE.

abc: 10.041 17.195 3.619
angles: 90.00 90.00 90.00
Space group Cmmm (No. 65)
Asymmetric unit:
La 0.000 0.250 0.000 x4
La 0.250 0.090 0.000 x8
In 0.000 0.000 0.500 x2
In 0.000 0.500 0.500 x2
Au 0.250 0.250 0.500 x4

Calculated values
DFT formation energy	-449	meV per atom
total magnetic moment	0.0	μB/cell
relative energy among the computed polymorphs	0.000	eV/atom
electronic total energy	-4.6087	eV/atom

***

A geometry-optimized La3In4Au4 structure. Source: the Alexandria database, functional PBE.

abc: 4.509 7.816 15.707
angles: 90.00 90.00 90.00
Space group Immm (No. 71)
Asymmetric unit:
La 0.000 0.000 0.000 x2
La 0.000 0.500 0.121 x4
In 0.000 0.304 0.330 x8
Au 0.000 0.000 0.221 x4
Au 0.000 0.191 0.500 x4

Calculated values
DFT formation energy	-651	meV per atom
total magnetic moment	0.0	μB/cell
electronic total energy	-4.1828	eV/atom

***

A geometry-optimized LaInAu2 structure. Source: the Alexandria database, functional PBE.

abc: 7.203 7.203 7.203
angles: 90.00 90.00 90.00
Space group F-43m (No. 216)
Asymmetric unit:
La 0.000 0.000 0.000 x4
In 0.250 0.250 0.250 x4
Au 0.000 0.000 0.500 x4
Au 0.250 0.250 0.750 x4

Calculated values
DFT formation energy	-510	meV per atom
total magnetic moment	0.0	μB/cell
electronic total energy	-4.0656	eV/atom

***

A geometry-optimized La8InAu2 structure. Source: the Alexandria database, functional PBE.

abc: 9.101 14.543 5.671
angles: 90.00 106.41 90.00
Space group C2/m (No. 12)
Asymmetric unit:
La 0.000 0.240 0.000 x4
La 0.107 0.500 0.811 x4
La 0.187 0.112 0.574 x8
In 0.000 0.000 0.000 x2
Au 0.000 0.313 0.500 x4

Calculated values
DFT formation energy	-328	meV per atom
total magnetic moment	0.0	μB/cell
relative energy among the computed polymorphs	0.062	eV/atom
electronic total energy	-4.7560	eV/atom

***

A geometry-optimized La3In2Au structure. Source: the Alexandria database, functional PBE.

abc: 3.745 3.745 12.647
angles: 90.00 90.00 90.00
Space group P4/mmm (No. 123)
Asymmetric unit:
La 0.000 0.000 0.000 x1
La 0.000 0.000 0.350 x2
In 0.500 0.500 0.175 x2
Au 0.500 0.500 0.500 x1

Calculated values
DFT formation energy	-600	meV per atom
total magnetic moment	0.0	μB/cell
electronic total energy	-4.5227	eV/atom

***

A geometry-optimized LaIn5Au4 structure. Source: the Alexandria database, functional PBE.

abc: 15.241 4.655 7.366
angles: 90.00 102.67 90.00
Space group C2/m (No. 12)
Asymmetric unit:
La 0.000 0.000 0.000 x2
In 0.000 0.000 0.500 x2
In 0.156 0.500 0.440 x4
In 0.183 0.500 0.012 x4
Au 0.037 0.500 0.723 x4
Au 0.199 0.000 0.244 x4

Calculated values
DFT formation energy	-356	meV per atom
total magnetic moment	0.0	μB/cell
electronic total energy	-3.5288	eV/atom